Material: HoCoO3
Method: DFT, GGA+U
State: optimized geometry

```
5
Lattice="3.691 0.000 0.000 0.000 3.691 0.000 0.000 0.000 3.691" Properties=species:S:1:pos:R:3 pbc="T T T"
Co 1.845 1.845 1.845
Ho 0.000 0.000 0.000
O 1.845 1.845 0.000
O 1.845 0.000 1.845
O 0.000 1.845 1.845
```

## Properties
- Magnetization: 0.00 μB/f.u.
- Calculated total energy: -6.921 eV/atom
- Theoretical density: 9.0 g/cm³